1.
Computed, not measured: crystalline Mg2Tl2TeO6 at its relaxed geometry at the PBE level of DFT.

Cell and atoms, written as CIF:
```
data_Mg2Tl2TeO6
_symmetry_space_group_name_H-M 'C 1 2/m 1'
_symmetry_Int_Tables_number 12
_cell_length_a 5.4493
_cell_length_b 9.3585
_cell_length_c 6.8706
_cell_angle_alpha 90.00
_cell_angle_beta 106.44
_cell_angle_gamma 90.00
loop_
_symmetry_equiv_pos_as_xyz
'x,y,z'
'-x,-y,-z'
'-x,y,-z'
'x,-y,z'
'x+1/2,y+1/2,z'
'-x+1/2,-y+1/2,-z'
'-x+1/2,y+1/2,-z'
'x+1/2,-y+1/2,z'
loop_
_atom_site_label
_atom_site_fract_x
_atom_site_fract_y
_atom_site_fract_z
_atom_site_occupancy
Mg1 0.0000 0.1661 0.0000 1
Tl1 0.0000 0.3294 0.5000 1
Te1 0.0000 0.5000 0.0000 1
O1 0.2098 0.3453 0.1584 1
O2 0.2503 0.0000 0.1602 1
```

Results
Total magnetic moment (μB/cell): 0.0
ΔE_f (raw) (kJ per mole of atoms): -151

=====

2.
Computed, not measured: crystalline MgTlTeO6 at its relaxed geometry at the PBE level of DFT.

Cell and atoms, written as CIF:
```
data_MgTlTeO6
_symmetry_space_group_name_H-M 'P -3 1 c'
_symmetry_Int_Tables_number 163
_symmetry_space_group_name_Hall '-P 3 2c'
_cell_length_a 5.3623
_cell_length_b 5.3623
_cell_length_c 9.2526
_cell_angle_alpha 90.00
_cell_angle_beta 90.00
_cell_angle_gamma 120.00
loop_
_atom_site_label
_atom_site_fract_x
_atom_site_fract_y
_atom_site_fract_z
_atom_site_occupancy
Mg1 0.3333 0.6667 0.2500 1
Tl1 0.0000 0.0000 0.0000 1
Te1 0.3333 0.6667 0.7500 1
O1 0.0194 0.3692 0.6357 1
```

Results
Total magnetic moment (μB/cell): 2.1
ΔE_f (raw) (kJ per mole of atoms): -110

=====

3.
Computed, not measured: crystalline MgTl2TeO6 at its relaxed geometry at the PBE level of DFT.

Cell and atoms, written as CIF:
```
data_MgTl2TeO6
_symmetry_space_group_name_H-M 'P 4 m m'
_symmetry_Int_Tables_number 99
_cell_length_a 5.3851
_cell_length_b 5.3851
_cell_length_c 5.0162
_cell_angle_alpha 90.00
_cell_angle_beta 90.00
_cell_angle_gamma 90.00
loop_
_symmetry_equiv_pos_as_xyz
'x,y,z'
'-y,x,z'
'-x,-y,z'
'y,-x,z'
'-x,y,z'
'y,x,z'
'x,-y,z'
'-y,-x,z'
loop_
_atom_site_label
_atom_site_fract_x
_atom_site_fract_y
_atom_site_fract_z
_atom_site_occupancy
Mg1 0.0000 0.0000 0.0000 1
Tl1 0.0000 0.5000 0.4752 1
Te1 0.5000 0.5000 0.0244 1
O1 0.0000 0.0000 0.5956 1
O2 0.2587 0.2587 0.1291 1
O3 0.5000 0.5000 0.6494 1
```

Results
Total magnetic moment (μB/cell): 0.0
ΔE_f (raw) (kJ per mole of atoms): -100

=====

| no. | ρ (g/cm³) |
| --- | --- |
| 1 | 6.73 |
| 2 | 6.52 |
| 3 | 7.50 |